Material: YAl3Ga4
Method: DFT, PBE-GGA
State: optimized geometry

```
8
Lattice="3.2743 0.0000 -0.9081 -0.5798 6.4391 -2.0907 0.4237 -0.9866 7.8855" Properties=species:S:1:pos:R:3 pbc="T T T"
Y 1.6372 0.0000 -0.4540
Al 0.6523 0.8224 2.3520
Al 2.4660 4.6301 2.5347
Al -0.2899 3.2195 -1.0453
Ga 1.1406 2.8001 4.1130
Ga 1.9776 2.6524 0.7737
Ga 1.7574 5.0986 -0.0205
Ga 1.3609 0.3539 4.9073
```

Values from the calculation:
- volume (Å³/f.u.) = 161.46
- energy relative to the elements (meV/atom) = -59.1
- symmetry = Immm, No. 71
- size of the total moment (μB per formula unit) = 0.00

Material: Y2AlZnGa
Method: DFT, PBE-GGA
State: optimized geometry

```
5
Lattice="-3.2210 4.4146 -0.6859 -1.3830 -0.3390 4.3130 4.1409 3.2674 1.5846" Properties=species:S:1:pos:R:3 pbc="T T T"
Y 2.0704 1.6337 0.7923
Y -1.6105 2.2073 -0.3429
Zn -0.6915 -0.1695 2.1565
Al 0.0000 0.0000 0.0000
Ga -0.2316 3.6715 2.6059
```

Values from the calculation:
- volume (Å³/f.u.) = 137.78
- energy relative to the elements (meV/atom) = 208.9
- symmetry = P4/mmm, No. 123
- size of the total moment (μB per formula unit) = 0.00

Material: Y2AlZn3Ga4
Method: DFT, PBE-GGA
State: optimized geometry

```
10
Lattice="-0.4037 3.4662 -2.2059 -4.1074 -0.2868 0.3010 0.2634 5.8877 9.2034" Properties=species:S:1:pos:R:3 pbc="T T T"
Y -0.1367 3.1892 1.1732
Y -1.8554 4.2882 7.0777
Al -2.1238 4.5335 3.6493
Zn 0.1317 2.9438 4.6017
Zn 0.0253 6.8106 6.8340
Zn -2.0174 0.6668 1.4170
Ga -2.2556 1.5897 -0.9524
Ga 0.0000 0.0000 0.0000
Ga -0.0325 5.5179 4.8132
Ga -1.9596 1.9595 3.4377
```

Values from the calculation:
- volume (Å³/f.u.) = 186.26
- energy relative to the elements (meV/atom) = -427.1
- symmetry = P-4m2, No. 115
- size of the total moment (μB per formula unit) = 0.00